No. 1
VASP calculation (GGA-PBE) on an optimized crystal structure of NaMnAgCl4.

Results
raw formation energy	-1.098	eV/atom
size of the total moment	0.714	μB/atom

Cell lengths 7.8872, 7.9341, 11.0573 Å; angles 90.00, 90.00, 90.00 degrees
With the nearest neighbours (Å) after each atom.
Space group Imma (No. 74)
Asymmetric unit:
Na1 0.0000 0.0000 0.0000 x4  6 Cl 2.81-2.82
Mn1 0.0000 0.2500 0.3782 x4  4 Cl 2.38
Ag1 0.2500 0.2500 0.7500 x4  6 Cl 2.75-2.82
Cl1 0.0000 0.0042 0.2553 x8  1 Mn 2.38
Cl2 0.2474 0.2500 0.5013 x8  1 Mn 2.38

No. 2
VASP calculation (GGA-PBE) on an optimized crystal structure of Na3Cd7Pb.

Results
energy relative to the elements	-32	meV/atom
size of the total moment	0.000	μB/atom

Cell lengths 3.2528, 24.3196, 15.1855 Å; angles 90.00, 90.00, 90.00 degrees
With the nearest neighbours (Å) after each atom.
Space group Cmcm (No. 63)
Asymmetric unit:
Na1 0.0000 0.1532 0.1002 x8  9 Cd 3.18-3.50, 2 Na 3.25
Na2 0.0000 0.1808 0.7500 x4  2 Na 3.25, 8 Cd 3.35-3.60, 1 Pb 3.49
Cd1 0.0000 0.2822 0.0667 x8  5 Cd 2.92-3.25, 1 Na 3.18
Cd2 0.0000 0.4015 0.0844 x8  5 Cd 2.92-3.25
Cd3 0.0000 0.4112 0.7500 x4  4 Cd 2.91-3.25, 4 Na 3.20
Cd4 0.0000 0.4685 0.5821 x8  6 Cd 2.91-3.25
Pb1 0.0000 0.0371 0.7500 x4  2 Pb 3.25, 10 Cd 3.35-3.47, 1 Na 3.49

No. 3
VASP calculation (GGA-PBE) on an optimized crystal structure of La2Mg2Al.

Results
energy relative to the elements	-101	meV/atom
size of the total moment	0.000	μB/atom

Cell lengths 7.3888, 7.3888, 5.2037 Å; angles 90.00, 90.00, 90.00 degrees
With the nearest neighbours (Å) after each atom.
Space group P4/mbm (No. 127)
Asymmetric unit:
La1 0.1700 0.3300 0.0000 x4  6 Mg 3.28-3.47, 1 La 3.55
Mg1 0.1385 0.6385 0.5000 x4  2 Al 2.86, 1 Mg 2.89
Al1 0.0000 0.0000 0.5000 x2  4 Mg 2.86

No. 4
VASP calculation (GGA-PBE) on an optimized crystal structure of NaLiPbSe2.

Results
raw formation energy	-0.875	eV/atom
size of the total moment	0.000	μB/atom

Cell lengths 15.3533, 4.2965, 8.1359 Å; angles 90.00, 97.84, 90.00 degrees
With the nearest neighbours (Å) after each atom.
Space group C2/m (No. 12)
Asymmetric unit:
Na1 0.2151 0.0000 0.3038 x4  5 Se 2.90-3.14, 1 Li 3.10
Li1 0.1894 0.0000 0.9194 x4  4 Se 2.55-2.60
Pb1 0.0328 0.5000 0.7332 x4  3 Se 2.87-2.94
Se1 0.1367 0.0000 0.6087 x4  1 Li 2.55
Se2 0.1397 0.5000 0.0510 x4  3 Li 2.56-2.60, 1 Pb 2.87